ZnIrBr2 | PBE | relaxed

Cell: 3.6565 3.2136 9.3692 Å, 90.78 90.00 90.00°
Sites, in units of the cell vectors:
Br: 0.0000 0.2429 0.0747
Br: 0.0000 0.2571 0.4253
Ir: 0.5000 0.2500 0.2500
Zn: 0.5000 0.7500 0.7500

Computed properties:
- ΔE to the lowest computed polymorph: 0.313 eV/atom
- Raw total energy: -0.112 hartree per atom
- SG: P2/m

---

ZnIr2Br | PBE | relaxed

Cell: 3.6103 2.8192 7.9779 Å, 69.23 90.00 90.00°
Sites, in units of the cell vectors:
Br: 0.5000 0.0718 0.8042
Ir: 0.0000 0.8271 0.0482
Ir: 0.5000 0.1402 0.2345
Zn: 0.0000 0.4609 0.4131

Computed properties:
- ΔE to the lowest computed polymorph: 0.000 eV/atom
- Raw total energy: -0.180 hartree per atom
- SG: Pm

---

ZnIrBr2 | PBE | relaxed

Cell: 4.7921 4.7921 4.7921 Å, 60.00 60.00 60.00°
Last column: magnetic moment on the atom in μB.
Sites, in units of the cell vectors:
Zn: 0.0000 0.0000 0.0000  -0.04
Ir: 0.5000 0.5000 0.5000  1.00
Br: 0.2500 0.2500 0.2500  0.12
Br: 0.7500 0.7500 0.7500  0.12

Computed properties:
- ΔE to the lowest computed polymorph: 0.810 eV/atom
- Raw total energy: -0.093 hartree per atom
- SG: Fm-3m

---

ZnIrBr2 | PBE | relaxed

Cell: 4.0167 4.0167 10.0033 Å, 90.00 90.00 125.99°
Last column: magnetic moment on the atom in μB.
Sites, in units of the cell vectors:
Br: 0.0000 0.0000 0.0858  0.07
Br: 0.0000 0.0000 0.4142  0.07
Ir: 0.5000 0.5000 0.2500  0.80
Zn: 0.5000 0.5000 0.7500  0.00

Computed properties:
- ΔE to the lowest computed polymorph: 0.426 eV/atom
- Raw total energy: -0.107 hartree per atom
- SG: Cmmm

---

ZnIr2Br | PBE | relaxed

Cell: 5.0830 5.0830 5.0830 Å, 135.25 135.25 65.15°
Sites, in units of the cell vectors:
Br: 0.7500 0.2500 0.5000
Ir: 0.0000 0.0000 0.0000
Ir: 0.2500 0.7500 0.5000
Zn: 0.5000 0.5000 0.0000

Computed properties:
- ΔE to the lowest computed polymorph: 0.572 eV/atom
- Raw total energy: -0.159 hartree per atom
- SG: I-4m2

---

Zn2IrBr8 | PBE | relaxed

Cell: 6.4425 8.2085 8.2085 Å, 56.27 89.39 89.39°
Last column: magnetic moment on the atom in μB.
Sites, in units of the cell vectors:
Zn: 0.5829 0.8399 0.8399  0.00
Zn: 0.4171 0.1601 0.1601  0.00
Ir: 0.0000 0.0000 0.0000  0.50
Br: 0.2386 0.8412 0.2887  0.04
Br: 0.2386 0.2887 0.8412  0.04
Br: 0.7614 0.1588 0.7113  0.04
Br: 0.3632 0.3198 0.3198  0.05
Br: 0.7614 0.7113 0.1588  0.04
Br: 0.1939 0.8496 0.8496  0.06
Br: 0.8061 0.1504 0.1504  0.06
Br: 0.6368 0.6802 0.6802  0.05

Computed properties:
- Raw total energy: -0.102 hartree per atom
- SG: C2/m

---

ZnIrBr2 | PBE | relaxed

Cell: 3.4174 3.7954 7.8557 Å, 75.93 90.00 90.00°
Last column: magnetic moment on the atom in μB.
Sites, in units of the cell vectors:
Br: 0.0000 0.1061 0.9112  0.02
Br: 0.5000 0.3938 0.3400  0.06
Ir: 0.0000 0.2686 0.5877  0.30
Zn: 0.5000 0.7316 0.6611  0.00

Computed properties:
- ΔE to the lowest computed polymorph: 0.000 eV/atom
- Raw total energy: -0.123 hartree per atom
- SG: Pm

---

ZnIr2Br | PBE | relaxed

Cell: 5.6040 5.6040 5.6040 Å, 149.96 131.68 57.95°
Sites, in units of the cell vectors:
Br: 0.2257 0.7257 0.5000
Ir: 0.9971 0.9971 0.0000
Ir: 0.7635 0.2635 0.5000
Zn: 0.5136 0.5136 0.0000

Computed properties:
- ΔE to the lowest computed polymorph: 0.410 eV/atom
- Raw total energy: -0.165 hartree per atom
- SG: Imm2

---

ZnIr2Br | PBE | relaxed

Cell: 2.8557 5.0040 4.5131 Å, 90.00 90.00 90.00°
Sites, in units of the cell vectors:
Br: 0.0000 0.5000 0.5000
Ir: 0.0000 0.0000 0.0000
Ir: 0.5000 0.5000 0.0000
Zn: 0.5000 0.0000 0.5000

Computed properties:
- ΔE to the lowest computed polymorph: 0.315 eV/atom
- Raw total energy: -0.168 hartree per atom
- SG: Pmmm

---

ZnIrBr2 | PBE | relaxed

Cell: 4.8100 4.8100 4.8100 Å, 60.00 60.00 60.00°
Last column: magnetic moment on the atom in μB.
Sites, in units of the cell vectors:
Br: 0.0000 0.0000 0.0000  0.23
Br: 0.7500 0.7500 0.7500  0.13
Ir: 0.5000 0.5000 0.5000  0.87
Zn: 0.2500 0.2500 0.2500  -0.01

Computed properties:
- ΔE to the lowest computed polymorph: 0.980 eV/atom
- Raw total energy: -0.087 hartree per atom
- SG: F-43m

---

ZnIr2Br | PBE | relaxed

Cell: 5.4198 5.4198 5.4198 Å, 149.98 124.63 64.28°
Sites, in units of the cell vectors:
Br: 0.2500 0.7500 0.5000
Ir: 0.9960 0.9960 0.0000
Ir: 0.5040 0.5040 0.0000
Zn: 0.7500 0.2500 0.5000

Computed properties:
- ΔE to the lowest computed polymorph: 0.317 eV/atom
- Raw total energy: -0.168 hartree per atom
- SG: Immm

---

ZnIrBr2 | PBE | relaxed

Cell: 10.3626 10.3626 10.3626 Å, 21.26 21.26 21.26°
Last column: magnetic moment on the atom in μB.
Sites, in units of the cell vectors:
Zn: 0.0000 0.0000 0.0000  0.00
Ir: 0.5000 0.5000 0.5000  0.66
Br: 0.8779 0.8779 0.8779  0.10
Br: 0.1221 0.1221 0.1221  0.10

Computed properties:
- ΔE to the lowest computed polymorph: 0.420 eV/atom
- Raw total energy: -0.108 hartree per atom
- SG: R-3m

---

In the order shown, the computed uncorrected formation energy values come out to 0.33, 0.27, 0.83, 0.45, 0.84, -0.51, 0.02, 0.68, 0.59, 1.00, 0.59, 0.44 eV per atom.
In the order shown, the computed DOS at the Fermi energy values come out to 0.28, 0.70, 0.50, 0.74, 1.07, 0.69, 0.74, 0.93, 1.03, 1.37, 0.90, 1.04 states/eV/atom.